1.
Compound: K5HC2N4
Source: Alexandria
Functional: PBE
Structure: optimized geometry

The structure in POSCAR format:
```
K5HC2N4
1.0
9.1566 0.0000 0.0000
0.0000 9.1566 0.0000
0.0000 0.0000 11.1724
C N H K
8 16 4 20
Direct
0.3979 0.8979 0.7500
0.8979 0.3979 0.2500
0.6021 0.3979 0.7500
0.1021 0.6021 0.7500
0.1021 0.8979 0.2500
0.3979 0.6021 0.2500
0.8979 0.1021 0.7500
0.6021 0.1021 0.2500
0.3516 0.5566 0.1519
0.1484 0.5566 0.6519
0.8516 0.4434 0.3481
0.8516 0.0566 0.8481
0.1484 0.9434 0.1519
0.4434 0.6484 0.3481
0.5566 0.1484 0.1519
0.6484 0.4434 0.8481
0.4434 0.8516 0.8481
0.9434 0.1484 0.6519
0.6484 0.0566 0.3481
0.5566 0.3516 0.6519
0.0566 0.6484 0.8481
0.3516 0.9434 0.6519
0.0566 0.8516 0.3481
0.9434 0.3516 0.1519
0.2500 0.2500 0.9031
0.2500 0.2500 0.4031
0.7500 0.7500 0.5969
0.7500 0.7500 0.0969
0.0444 0.8528 0.6000
0.8528 0.4556 0.6000
0.3528 0.5444 0.9000
0.4556 0.6472 0.6000
0.9556 0.1472 0.4000
0.9556 0.3528 0.9000
0.6472 0.0444 0.6000
0.1472 0.5444 0.4000
0.7500 0.7500 0.8485
0.1472 0.9556 0.9000
0.0444 0.6472 0.1000
0.6472 0.4556 0.1000
0.5444 0.3528 0.4000
0.4556 0.8528 0.1000
0.8528 0.0444 0.1000
0.2500 0.2500 0.6515
0.3528 0.9556 0.4000
0.7500 0.7500 0.3485
0.2500 0.2500 0.1515
0.5444 0.1472 0.9000
```

Computed properties:
electronic total energy	-263.6	eV/cell

***

2.
Compound: BaGeAs4
Source: Alexandria
Functional: PBE
Structure: optimized geometry

The structure in POSCAR format:
```
BaGeAs4
1.0
-1.7406 -4.0130 4.7992
3.0724 -6.2093 -4.0778
3.5378 3.0499 5.9452
As Ba Ge
8 2 2
Direct
0.6587 0.2995 0.5990
0.4174 0.6521 0.8343
0.5826 0.3479 0.1657
0.0000 0.1518 0.0000
0.5826 0.8178 0.1657
0.3413 0.7005 0.4010
0.4174 0.1822 0.8343
0.0000 0.8482 0.0000
0.8035 0.7926 0.5852
0.1965 0.2074 0.4148
0.1935 0.5284 0.0569
0.8065 0.4716 0.9431
```

Computed properties:
energy relative to the elements	-0.25	eV/atom

***

3.
Compound: CdPRh2
Source: Alexandria
Functional: PBE
Structure: optimized geometry

The structure in POSCAR format:
```
CdPRh2
1.0
4.3098 0.0000 0.0000
0.0000 4.3098 0.0000
0.0000 0.0000 3.2579
Rh P Cd
2 1 1
Direct
0.5000 0.0000 0.0000
0.0000 0.5000 0.0000
0.0000 0.0000 0.5000
0.5000 0.5000 0.5000
```

Computed properties:
energy above the lowest structure with this stoichiometry	1.532	eV/f.u.
energy relative to the elements	-0.04	eV/atom